Compound: Pr8DyHo4
Source: Alexandria via LeMat-Bulk
Functional: GGA-PBE
Structure: relaxed

Lattice parameters (Å, degrees): 7.2969 7.2967 10.6662 90.00 110.01 120.00
Closest atoms and distances in Å follow each position.
Fractional positions:
Pr 0.5761 0.7880 0.3641  9 Pr 3.73-3.91, 3 Ho 4.14
Pr 0.4239 0.2120 0.6359  9 Pr 3.73-3.91, 3 Ho 4.14
Pr 0.4973 0.2487 0.2887  1 Dy 3.08, 2 Pr 3.34, 1 Ho 3.42
Pr 0.9599 0.2086 0.7113  1 Dy 3.08, 2 Pr 3.34, 1 Ho 3.42
Pr 0.5027 0.7513 0.7113  1 Dy 3.08, 2 Pr 3.34, 1 Ho 3.42
Pr 0.9599 0.7513 0.7113  1 Dy 3.08, 2 Pr 3.34, 1 Ho 3.42
Pr 0.0401 0.2487 0.2887  1 Dy 3.08, 2 Pr 3.34, 1 Ho 3.42
Pr 0.0401 0.7914 0.2887  1 Dy 3.08, 2 Pr 3.34, 1 Ho 3.42
Dy 0.0000 0.5000 0.5000  6 Pr 3.08
Ho 0.0000 0.0000 0.0000  6 Pr 3.42, 6 Ho 3.65
Ho 0.0000 0.5000 0.0000  4 Pr 3.59, 6 Ho 3.65
Ho 0.5000 0.5000 0.0000  4 Pr 3.58-3.59, 6 Ho 3.65
Ho 0.5000 0.0000 0.0000  4 Pr 3.58-3.59, 6 Ho 3.65

Properties
For the calculated total energy, the calculation gives -4.516 eV per atom. Its symmetry is R-3m (166). The value obtained for the formation energy from the elements is 18 kJ/mol of atoms.

Compound: PrDy3Ho3
Source: Alexandria via LeMat-Bulk
Functional: GGA-PBE
Structure: relaxed

Lattice parameters (Å, degrees): 6.3116 6.3116 6.3116 102.72 102.72 102.72
Closest atoms and distances in Å follow each position.
Fractional positions:
Pr 0.1069 0.1069 0.1069  3 Dy 3.15, 6 Ho 3.23-3.44
Dy 0.5207 0.5207 0.1659  1 Pr 3.15, 3 Ho 3.30-3.49, 2 Dy 3.50
Dy 0.5207 0.1659 0.5207  1 Pr 3.15, 3 Ho 3.30-3.49, 2 Dy 3.50
Dy 0.1659 0.5207 0.5207  1 Pr 3.15, 3 Ho 3.30-3.49, 2 Dy 3.50
Ho 0.5606 0.9623 0.9623  2 Pr 3.23-3.44, 5 Dy 3.30-3.56
Ho 0.9623 0.9623 0.5606  2 Pr 3.23-3.44, 5 Dy 3.30-3.56
Ho 0.9623 0.5606 0.9623  2 Pr 3.23-3.44, 5 Dy 3.30-3.56

Properties
For the calculated total energy, the calculation gives -4.368 eV per atom. Its symmetry is R3m (160). The value obtained for the formation energy from the elements is 24 kJ/mol of atoms. The energy above the lowest structure with this stoichiometry comes out at 25 meV per atom.

Compound: Pr4Dy3Ho8
Source: Alexandria via LeMat-Bulk
Functional: GGA-PBE
Structure: relaxed

Lattice parameters (Å, degrees): 6.9639 6.9639 12.5246 73.86 73.86 60.00
Closest atoms and distances in Å follow each position.
Fractional positions:
Pr 0.0000 0.0000 0.0000  6 Ho 3.62, 6 Pr 4.02
Pr 0.3366 0.3366 0.9903  4 Ho 3.27-3.54
Pr 0.5000 0.5000 0.5000  6 Dy 3.48, 6 Ho 3.55
Pr 0.6634 0.6634 0.0097  4 Ho 3.27-3.54
Dy 0.5000 0.0000 0.5000  6 Ho 3.42-3.54, 4 Dy 3.48, 2 Pr 3.48
Dy 0.0000 0.0000 0.5000  6 Ho 3.42-3.54, 2 Pr 3.48, 4 Dy 3.48
Dy 0.0000 0.5000 0.5000  6 Ho 3.42-3.54, 4 Dy 3.48, 2 Pr 3.48
Ho 0.2446 0.2446 0.2663  1 Pr 3.27, 3 Dy 3.42, 6 Ho 3.48
Ho 0.2468 0.7495 0.2542  6 Ho 3.46-3.50, 3 Pr 3.54-3.62, 2 Dy 3.54
Ho 0.7495 0.7495 0.2542  6 Ho 3.46-3.50, 3 Pr 3.54-3.62, 2 Dy 3.54
Ho 0.7495 0.2468 0.2542  6 Ho 3.46-3.50, 3 Pr 3.54-3.62, 2 Dy 3.54
Ho 0.7554 0.7554 0.7337  1 Pr 3.27, 3 Dy 3.42, 6 Ho 3.48
Ho 0.7532 0.2505 0.7458  6 Ho 3.46-3.50, 3 Pr 3.54-3.62, 2 Dy 3.54
Ho 0.2505 0.2505 0.7458  6 Ho 3.46-3.50, 3 Pr 3.54-3.62, 2 Dy 3.54
Ho 0.2505 0.7532 0.7458  6 Ho 3.46-3.50, 3 Pr 3.54-3.62, 2 Dy 3.54

Properties
For the calculated total energy, the calculation gives -4.520 eV per atom. Its symmetry is R-3m (166). The value obtained for the formation energy from the elements is 11 kJ/mol of atoms. The energy above the lowest structure with this stoichiometry comes out at 0 meV per atom.

Compound: Pr8Dy4Ho3
Source: Alexandria via LeMat-Bulk
Functional: GGA-PBE
Structure: relaxed

Lattice parameters (Å, degrees): 6.9254 9.2602 9.2602 82.94 110.76 110.76
Closest atoms and distances in Å follow each position.
Fractional positions:
Pr 0.2832 0.2444 0.2444  1 Dy 3.01, 1 Ho 3.13
Pr 0.0000 0.7057 0.2943  3 Dy 3.51-3.61, 4 Pr 3.51-3.55, 2 Ho 3.60
Pr 0.8213 0.2963 0.2963  4 Pr 3.45-3.60, 3 Dy 3.48-3.63, 2 Ho 3.66
Pr 0.5000 0.7538 0.2462  1 Dy 3.02, 1 Ho 3.11
Pr 0.5000 0.2462 0.7538  1 Dy 3.02, 1 Ho 3.11
Pr 0.1787 0.7037 0.7037  4 Pr 3.45-3.60, 3 Dy 3.48-3.63, 2 Ho 3.66
Pr 0.0000 0.2943 0.7057  3 Dy 3.51-3.61, 4 Pr 3.51-3.55, 2 Ho 3.60
Pr 0.7168 0.7556 0.7556  1 Dy 3.01, 1 Ho 3.13
Dy 0.5000 0.0000 0.0000  2 Pr 3.02
Dy 0.0000 0.5000 0.0000  2 Ho 3.46, 8 Pr 3.48-3.66
Dy 0.0000 0.0000 0.0000  2 Pr 3.01
Dy 0.0000 0.0000 0.5000  2 Ho 3.46, 8 Pr 3.48-3.66
Ho 0.5000 0.5000 0.0000  8 Pr 3.40-3.66, 2 Dy 3.46
Ho 0.5000 0.0000 0.5000  8 Pr 3.40-3.66, 2 Dy 3.46
Ho 0.5000 0.5000 0.5000  4 Pr 3.11-3.13

Properties
For the calculated total energy, the calculation gives -4.364 eV per atom. Its symmetry is C2/m (12). The value obtained for the formation energy from the elements is 32 kJ/mol of atoms. The energy above the lowest structure with this stoichiometry comes out at 171 meV per atom.

Q: What is the formula in the fourth record?
A: Pr8Dy4Ho3

Q: Look up the calculated total energy of the second one.
A: -4.368 eV per atom

Q: Which of these has the highest calculated total energy?
A: Pr8Dy4Ho3